The following is a PBE+U calculation of a relaxed structure of Te3W2Se4Cl8O2, from Alexandria.

a = 8.6271 Å, b = 8.6271 Å, c = 15.4477 Å
α = 79.25°, β = 79.25°, γ = 81.96°
Positions (direct):
1 Te 0.8780 0.0236 0.1561
2 Te 0.8649 0.1450 0.8519
3 Te 0.0377 0.7564 0.9604
4 Te 0.0236 0.8780 0.6561
5 Te 0.1450 0.8649 0.3519
6 Te 0.7564 0.0377 0.4604
7 W 0.4552 0.4508 0.2802
8 W 0.4511 0.4459 0.0310
9 W 0.4459 0.4511 0.5310
10 W 0.4508 0.4552 0.7802
11 Se 0.8676 0.7767 0.3925
12 Se 0.1257 0.0340 0.9199
13 Se 0.0096 0.1567 0.6854
14 Se 0.0340 0.1257 0.4199
15 Se 0.7767 0.8676 0.8925
16 Se 0.7447 0.8929 0.6269
17 Se 0.1567 0.0096 0.1854
18 Se 0.8929 0.7447 0.1269
19 Cl 0.4068 0.1744 0.3168
20 Cl 0.4941 0.7275 0.4953
21 Cl 0.7275 0.4941 0.9953
22 Cl 0.7339 0.3719 0.2598
23 Cl 0.4002 0.1774 0.5623
24 Cl 0.5012 0.7243 0.2494
25 Cl 0.3689 0.7309 0.0092
26 Cl 0.1744 0.4068 0.8168
27 Cl 0.5296 0.1672 0.0524
28 Cl 0.1774 0.4002 0.0623
29 Cl 0.7243 0.5012 0.7494
30 Cl 0.7309 0.3689 0.5092
31 Cl 0.3719 0.7339 0.7598
32 Cl 0.1703 0.5333 0.3028
33 Cl 0.5333 0.1703 0.8028
34 Cl 0.1672 0.5296 0.5524
35 O 0.4507 0.4507 0.1559
36 O 0.4505 0.4510 0.4059
37 O 0.4507 0.4507 0.6559
38 O 0.4510 0.4505 0.9059

Calculated values
Its total energy is -4.05 eV per atom.